A plane-wave DFT calculation with PBEsol was carried out for LaInO3 after structural relaxation.

Energy relative to the elements, uncorrected (eV per formula unit): -12.753

abc: 5.939 8.223 5.701
angles: 90.00 90.00 90.00
Space group Pnma (No. 62)
Asymmetric unit:
La  0.056  0.250  0.017
In  0.000  0.000  0.500
O  0.048  0.750  0.382
O  0.198  0.562  0.805

=====

A plane-wave DFT calculation with PBEsol was carried out for LaInOs2 after structural relaxation.

Calculated formation energy (meV/atom): 672

abc: 3.304 5.238 8.812
angles: 90.00 90.00 90.00
Space group Immm (No. 71)
Asymmetric unit:
La  0.000  0.000  0.000
In  0.000  0.000  0.500
Os  0.000  0.500  0.245

=====

A plane-wave DFT calculation with PBEsol was carried out for LaInOs after structural relaxation.

Calculated formation energy (meV/atom): 115

abc: 4.6336 4.6336 3.7688
angles: 90.00 90.00 120.00
Space group P-6m2 (No. 187)
Asymmetric unit:
La  0.0000  0.0000  0.0000
In  0.3333  0.6667  0.5000
Os  0.6667  0.3333  0.5000

=====

A plane-wave DFT calculation with PBEsol was carried out for LaInOs after structural relaxation.

Calculated formation energy (meV/atom): 30

abc: 3.344 3.344 11.911
angles: 90.00 90.00 90.00
Space group I4mm (No. 107)
Asymmetric unit:
La  0.000  0.000  0.000
In  0.000  0.000  0.723
Os  0.000  0.000  0.347

=====

A plane-wave DFT calculation with PBEsol was carried out for LaInOs2 after structural relaxation.

Calculated formation energy (meV/atom): 745

abc: 2.9876 2.9876 28.4218
angles: 90.00 90.00 120.00
Space group R-3m (No. 166, hexagonal axes)
Asymmetric unit:
La  0.0000  0.0000  0.0000
In  0.0000  0.0000  0.5000
Os  0.0000  0.0000  0.2427

=====

A plane-wave DFT calculation with PBEsol was carried out for LaSc2InOs after structural relaxation.

Calculated formation energy (meV/atom): 796

abc: 5.192 5.192 4.953
angles: 90.00 90.00 90.00
Space group P4/mmm (No. 123)
Asymmetric unit:
La  0.000  0.000  0.000
Sc  0.000  0.500  0.500
In  0.500  0.500  0.500
Os  0.500  0.500  0.000

=====

A plane-wave DFT calculation with PBEsol was carried out for LaIn3P after structural relaxation.

Calculated formation energy (meV/atom): 74

abc: 5.163 5.163 5.163
angles: 90.00 90.00 90.00
Space group Pm-3m (No. 221)
Asymmetric unit:
La  0.000  0.000  0.000
In  0.000  0.500  0.500
P  0.500  0.500  0.500

=====

A plane-wave DFT calculation with PBEsol was carried out for La3InP after structural relaxation.

Calculated formation energy (meV/atom): -668

abc: 5.519 5.519 5.519
angles: 90.00 90.00 90.00
Space group Pm-3m (No. 221)
Asymmetric unit:
La  0.000  0.000  0.500
In  0.500  0.500  0.500
P  0.000  0.000  0.000

=====

A plane-wave DFT calculation with PBEsol was carried out for LaInP2 after structural relaxation.

Calculated formation energy (meV/atom): -124

abc: 7.025 7.025 7.025
angles: 90.00 90.00 90.00
Space group F-43m (No. 216)
Asymmetric unit:
La  0.000  0.000  0.000
In  0.250  0.250  0.750
P  0.000  0.000  0.500
P  0.250  0.250  0.250

=====

A plane-wave DFT calculation with PBEsol was carried out for LaInP2 after structural relaxation.

Calculated formation energy (meV/atom): -547

abc: 4.071 4.071 10.369
angles: 90.00 90.00 90.00
Space group I-4m2 (No. 119)
Asymmetric unit:
La  0.000  0.000  0.000
In  0.000  0.500  0.750
P  0.000  0.000  0.500
P  0.000  0.500  0.250

=====

A plane-wave DFT calculation with PBEsol was carried out for LaInP2 after structural relaxation.

Calculated formation energy (meV/atom): -616

abc: 4.075 4.075 5.816
angles: 90.00 90.00 90.00
Space group P4mm (No. 99)
Asymmetric unit:
La  0.000  0.000  0.000
In  0.500  0.500  0.528
P  0.000  0.000  0.510
P  0.500  0.500  0.049

=====

A plane-wave DFT calculation with PBEsol was carried out for LaIn4P after structural relaxation.

Calculated formation energy (meV/atom): 2

abc: 8.415 8.415 8.415
angles: 90.00 90.00 90.00
Space group F-43m (No. 216)
Asymmetric unit:
La  0.000  0.000  0.000
In  0.124  0.124  0.624
P  0.250  0.250  0.250

=====

Number 1: theoretical density 7.197 g/cm3, calculated volume 278.4 Å³/cell. Number 2: theoretical density 13.811 g/cm3, calculated volume 152.5 Å³/cell. Number 3: theoretical density 10.520 g/cm3, calculated volume 70.1 Å³/cell. Number 4: theoretical density 11.067 g/cm3, calculated volume 133.2 Å³/cell. Number 5: theoretical density 14.380 g/cm3, calculated volume 219.7 Å³/cell. Number 6: theoretical density 6.640 g/cm3, calculated volume 133.5 Å³/cell. Number 7: theoretical density 6.207 g/cm3, calculated volume 137.6 Å³/cell. Number 8: theoretical density 5.556 g/cm3, calculated volume 168.1 Å³/cell. Number 9: theoretical density 6.049 g/cm3, calculated volume 346.6 Å³/cell. Number 10: theoretical density 6.100 g/cm3, calculated volume 171.9 Å³/cell. Number 11: theoretical density 5.427 g/cm3, calculated volume 96.6 Å³/cell. Number 12: theoretical density 7.013 g/cm3, calculated volume 595.9 Å³/cell.